VASP calculation (PBE) on a relaxed structure of RbTl2RuCl6.

Lattice parameters (Å, degrees): 7.175 7.175 16.250 77.25 77.25 60.00
Positions (direct):
Ru 0.000 0.000 0.000
Cl 0.372 0.372 0.413
Cl 0.814 0.814 0.087
Rb 0.415 0.415 0.755
Cl 0.372 0.844 0.413
Cl 0.156 0.628 0.587
Cl 0.186 0.716 0.913
Cl 0.284 0.814 0.087
Rb 0.585 0.585 0.245
Cl 0.628 0.628 0.587
Cl 0.844 0.372 0.413
Cl 0.716 0.186 0.913
Tl 0.685 0.685 0.945
Ru 0.500 0.500 0.500
Cl 0.628 0.156 0.587
Cl 0.186 0.186 0.913
Tl 0.852 0.852 0.444
Cl 0.814 0.284 0.087
Tl 0.315 0.315 0.055
Tl 0.148 0.148 0.556

**Total energy**: -3.609 eV/atom